This record from the Alexandria database describes crystalline BNClF2 at its relaxed geometry. The functional is GGA-PBE.

a = 4.715 Å, b = 4.715 Å, c = 3.263 Å
α = 90.00°, β = 90.00°, γ = 90.00°
Positions (direct):
B  0.000  0.000  0.000
N  0.500  0.500  0.000
Cl  0.500  0.500  0.500
F  0.000  0.500  0.500
F  0.500  0.000  0.500

Calculated values
space-group type: P4/mmm, No. 123
formation energy without anion corrections: 6.8 eV/f.u.
uncorrected energy: -2.76 eV per atom



This record from the Alexandria database describes crystalline TlIrAu4 at its relaxed geometry. The functional is GGA-PBE.

a = 5.509 Å, b = 5.509 Å, c = 5.509 Å
α = 60.00°, β = 60.00°, γ = 60.00°
Positions (direct):
Tl  0.000  0.000  0.000
Ir  0.250  0.250  0.250
Au  0.126  0.625  0.625
Au  0.625  0.126  0.625
Au  0.625  0.625  0.126
Au  0.625  0.625  0.625

Calculated values
space-group type: F-43m, No. 216
ΔH_f (0 K): 49.48 kJ/mol of atoms
uncorrected energy: -3.54 eV per atom



This record from the Alexandria database describes crystalline NaLi2ReO at its relaxed geometry. The functional is GGA-PBE.

a = 4.393 Å, b = 4.393 Å, c = 5.190 Å
α = 90.00°, β = 90.00°, γ = 90.00°
Positions (direct):
Na  0.000  0.000  0.000
Li  0.000  0.500  0.000
Li  0.500  0.000  0.000
Re  0.000  0.000  0.500
O  0.500  0.500  0.500

Calculated values
space-group type: P4/mmm, No. 123
formation energy without anion corrections: 8.9 eV/f.u.
uncorrected energy: -2.72 eV per atom



This record from the Alexandria database describes crystalline MnSiSb2 at its relaxed geometry. The functional is GGA-PBE.

a = 3.175 Å, b = 3.186 Å, c = 7.392 Å
α = 90.00°, β = 90.14°, γ = 90.00°
Positions (direct):
Mn  0.000  0.000  0.000
Si  0.000  0.000  0.500
Sb  0.499  0.500  0.785
Sb  0.501  0.500  0.215

Calculated values
space-group type: P2/m, No. 10
formation energy without anion corrections: 1.8 eV/f.u.
uncorrected energy: -5.26 eV per atom



This record from the Alexandria database describes crystalline BaAgMo2 at its relaxed geometry. The functional is GGA-PBE.

a = 2.864 Å, b = 2.864 Å, c = 10.172 Å
α = 90.00°, β = 90.00°, γ = 90.00°
Positions (direct):
Ba  0.000  0.000  0.000
Ag  0.000  0.000  0.500
Mo  0.500  0.500  0.290
Mo  0.500  0.500  0.710

Calculated values
space-group type: P4/mmm, No. 123
ΔH_f (0 K): 108.43 kJ/mol of atoms
uncorrected energy: -5.49 eV per atom



This record from the Alexandria database describes crystalline Mg3Si4 at its relaxed geometry. The functional is GGA-PBE.

a = 5.358 Å, b = 6.856 Å, c = 7.972 Å
α = 111.25°, β = 97.01°, γ = 100.71°
Positions (direct):
Mg  0.000  0.000  0.000
Mg  0.101  0.534  0.247
Mg  0.270  0.089  0.392
Mg  0.445  0.391  0.856
Mg  0.657  0.607  0.586
Mg  0.781  0.079  0.634
Si  0.138  0.503  0.596
Si  0.187  0.887  0.633
Si  0.352  0.789  0.077
Si  0.494  0.310  0.173
Si  0.510  0.993  0.901
Si  0.661  0.691  0.253
Si  0.806  0.213  0.350
Si  0.971  0.518  0.868

Calculated values
space-group type: P1, No. 1
formation energy without anion corrections: 0.6 eV/f.u.
uncorrected energy: -3.70 eV per atom



Q: Which formula does entry 1 have?
A: BNClF2